Here is a relaxed structure of NaLaCu10 from Alexandria via LeMat-Bulk. Energies are from PBE.

Calculated values
ΔH_f (0 K): -43.7 meV per atom
ρ: 7.2 Mg/m³
VASP energy: -47.7 eV for the cell shown
Symmetry: Pmmm
DOS(E_F): 5.12 states/eV/f.u.
Magnetization: 0.0 μB per cell

Lattice parameters (Å, degrees): 4.0837 5.1235 8.8007 90.00 90.00 90.00
With the nearest neighbours (Å) after each atom.
Atoms (fractional coordinates):
Na 0.0000 0.0000 0.0000  6 Cu 2.84-2.92
La 0.0000 0.5000 0.5000  18 Cu 3.00-3.28
Cu 0.0000 0.0000 0.3226  6 Cu 2.50-2.57
Cu 0.0000 0.0000 0.6774  6 Cu 2.50-2.57
Cu 0.0000 0.5000 0.1588  6 Cu 2.47-2.53
Cu 0.0000 0.5000 0.8412  6 Cu 2.47-2.53
Cu 0.5000 0.0000 0.5000  8 Cu 2.56-2.57
Cu 0.5000 0.2519 0.2489  8 Cu 2.50-2.58
Cu 0.5000 0.2519 0.7511  8 Cu 2.50-2.58
Cu 0.5000 0.5000 0.0000  8 Cu 2.47-2.53
Cu 0.5000 0.7481 0.2489  8 Cu 2.50-2.58
Cu 0.5000 0.7481 0.7511  8 Cu 2.50-2.58